Density functional theory data (PBE) for a geometry-optimized Cs6Cl5F structure.

abc: 8.4803 8.4803 8.4530
angles: 99.59 99.59 120.03
Atoms (fractional coordinates):
Cs (0.0805, 0.3935, 0.7404)
Cs (0.2259, 0.2259, 0.2700)
Cs (0.3935, 0.0805, 0.7404)
Cs (0.6065, 0.9195, 0.2596)
Cs (0.7741, 0.7741, 0.7300)
Cs (0.9195, 0.6065, 0.2596)
Cl (0.1706, 0.8294, 0.0000)
Cl (0.3336, 0.6664, 0.5000)
Cl (0.5000, 0.5000, 0.0000)
Cl (0.6664, 0.3336, 0.5000)
Cl (0.8294, 0.1706, 0.0000)
F (0.0000, 0.0000, 0.5000)

Summary:
Formation energy from raw total energies = -24.73 eV/f.u.
DOS(E_F) = 0.000 states/eV/atom